This record from Alexandria via LeMat-Bulk describes crystalline Se3Br at its relaxed geometry. The functional is PBE.

Unit cell a=3.324 b=4.164 c=7.469 alpha=90.00 beta=90.00 gamma=90.00
Fractional coordinates of all 4 atoms:
Se  0.000  0.000  0.500
Se  0.500  0.500  0.658
Se  0.500  0.500  0.342
Br  0.000  0.000  0.000

The value obtained for the density of states at the Fermi level is 0.515 states/eV/atom. For the magnetic moment, the calculation gives 0.00 μB per formula unit. The volume is 25.844 Å³ per atom. Its space group is Pmmm. As for the uncorrected formation energy: 0.41 eV per atom. As for the density: 5.089 g/cm³. For the energy above the most stable polymorph in this dataset, the calculation gives 0.357 eV per atom.